# 1
{
  "formula": "FeCo2Br",
  "functional": "GGA-PBE",
  "state": "optimized geometry",
  "lattice_angstrom": [[3.045, 0.000, 0.000], [0.000, 3.045, 0.000], [0.000, 0.000, 6.118]],
  "species": ["Fe", "Co", "Co", "Br"],
  "fractional_positions": [[0.000, 0.000, 0.000], [0.500, 0.500, 0.209], [0.500, 0.500, 0.791], [0.000, 0.000, 0.500]],
  "dft_energy_ev_per_cell": -22.6,
  "magnetic_moment_mub_per_atom": 1.613
}

=====

# 2
{
  "formula": "FeCo2Br",
  "functional": "GGA-PBE",
  "state": "optimized geometry",
  "lattice_angstrom": [[3.127, 0.000, 0.000], [0.000, 3.127, 0.000], [0.000, 0.000, 6.240]],
  "species": ["Fe", "Co", "Co", "Br"],
  "fractional_positions": [[0.000, 0.000, 0.000], [0.000, 0.000, 0.629], [0.500, 0.500, 0.784], [0.500, 0.500, 0.277]],
  "dft_energy_ev_per_cell": -22.6,
  "magnetic_moment_mub_per_atom": 1.717
}

=====

# 3
{
  "formula": "FeCo2Br",
  "functional": "GGA-PBE",
  "state": "optimized geometry",
  "lattice_angstrom": [[0.000, 2.998, 2.998], [2.998, 0.000, 2.998], [2.998, 2.998, 0.000]],
  "species": ["Fe", "Co", "Co", "Br"],
  "fractional_positions": [[0.000, 0.000, 0.000], [0.250, 0.250, 0.250], [0.500, 0.500, 0.500], [0.750, 0.750, 0.750]],
  "dft_energy_ev_per_cell": -21.2,
  "magnetic_moment_mub_per_atom": 1.505
}

=====

# 4
{
  "formula": "FeCo2Br",
  "functional": "GGA-PBE",
  "state": "optimized geometry",
  "lattice_angstrom": [[-2.793, 2.793, 4.311], [2.793, -2.793, 4.311], [2.793, 2.793, -4.311]],
  "species": ["Fe", "Fe", "Co", "Co", "Co", "Co", "Br", "Br"],
  "fractional_positions": [[0.000, 0.000, 0.000], [0.750, 0.250, 0.500], [0.091, 0.625, 0.966], [0.375, 0.341, 0.466], [0.659, 0.125, 0.034], [0.875, 0.909, 0.534], [0.250, 0.750, 0.500], [0.500, 0.500, 0.000]],
  "dft_energy_ev_per_cell": -40.5,
  "magnetic_moment_mub_per_atom": 0.252
}

=====

# 5
{
  "formula": "Fe3CoBr",
  "functional": "GGA-PBE",
  "state": "optimized geometry",
  "lattice_angstrom": [[4.451, 0.000, 0.000], [0.000, 4.451, 0.000], [0.000, 0.000, 4.451]],
  "species": ["Fe", "Fe", "Fe", "Co", "Br"],
  "fractional_positions": [[0.000, 0.000, 0.500], [0.000, 0.500, 0.000], [0.500, 0.000, 0.000], [0.000, 0.000, 0.000], [0.500, 0.500, 0.500]],
  "de_polymorph_mev_per_atom": 0,
  "magnetic_moment_mub_per_atom": 2.095
}

=====

# 6
{
  "formula": "Fe2CoBr",
  "functional": "GGA-PBE",
  "state": "optimized geometry",
  "lattice_angstrom": [[-1.518, 2.110, 4.292], [1.518, -2.110, 4.292], [1.518, 2.110, -4.292]],
  "species": ["Fe", "Fe", "Co", "Br"],
  "fractional_positions": [[0.246, 0.246, 0.000], [0.754, 0.754, 0.000], [0.000, 0.500, 0.500], [0.500, 0.000, 0.500]],
  "de_polymorph_mev_per_atom": 320,
  "magnetic_moment_mub_per_atom": 1.774
}

=====

# 7
{
  "formula": "FeCo2Br",
  "functional": "GGA-PBE",
  "state": "optimized geometry",
  "lattice_angstrom": [[-1.805, 1.805, 4.159], [1.805, -1.805, 4.159], [1.805, 1.805, -4.159]],
  "species": ["Fe", "Co", "Co", "Br"],
  "fractional_positions": [[0.000, 0.000, 0.000], [0.500, 0.500, 0.000], [0.750, 0.250, 0.500], [0.250, 0.750, 0.500]],
  "dft_energy_ev_per_cell": -21.4,
  "magnetic_moment_mub_per_atom": 1.593
}

=====

# 8
{
  "formula": "FeCo3Br9",
  "functional": "GGA-PBE",
  "state": "optimized geometry",
  "lattice_angstrom": [[8.959, -4.556, 0.000], [8.959, 4.556, 0.000], [-8.059, 0.000, 10.051]],
  "species": ["Fe", "Fe", "Co", "Co", "Co", "Co", "Co", "Co", "Br", "Br", "Br", "Br", "Br", "Br", "Br", "Br", "Br", "Br", "Br", "Br", "Br", "Br", "Br", "Br", "Br", "Br"],
  "fractional_positions": [[0.230, 0.770, 0.500], [0.770, 0.230, 0.000], [0.016, 0.248, 0.823], [0.248, 0.016, 0.323], [0.295, 0.435, 0.677], [0.435, 0.295, 0.177], [0.671, 0.794, 0.221], [0.794, 0.671, 0.721], [0.069, 0.198, 0.193], [0.091, 0.911, 0.327], [0.165, 0.422, 0.021], [0.198, 0.069, 0.693], [0.310, 0.674, 0.696], [0.355, 0.441, 0.370], [0.422, 0.165, 0.521], [0.441, 0.355, 0.870], [0.456, 0.759, 0.222], [0.504, 0.989, 0.097], [0.523, 0.772, 0.556], [0.674, 0.310, 0.196], [0.759, 0.456, 0.722], [0.772, 0.523, 0.056], [0.820, 0.901, 0.929], [0.901, 0.820, 0.429], [0.911, 0.091, 0.827], [0.989, 0.504, 0.597]],
  "dft_energy_ev_per_cell": -96.5,
  "magnetic_moment_mub_per_atom": 1.078
}